# 1
Computed, not measured: crystalline AsPPdO2 at its relaxed geometry at the PBE level of DFT.

Lattice parameters (Å, degrees): 3.894 3.894 4.899 90.00 90.00 90.00
Element x y z (fractional)
As: 0.000 0.000 0.000
P: 0.500 0.500 0.000
Pd: 0.500 0.500 0.500
O: 0.000 0.500 0.500
O: 0.500 0.000 0.500

Values from the calculation:
**Uncorrected formation energy**: 337.6 meV per atom
**Offset from the most stable computed form**: 430 meV/atom
**Total moment**: 0.02 Bohr magnetons per cell


# 2
Computed, not measured: crystalline AsP2PdO at its relaxed geometry at the PBE level of DFT.

Lattice parameters (Å, degrees): 4.792 4.792 3.790 90.00 90.00 90.00
Element x y z (fractional)
As: 0.000 0.000 0.000
P: 0.000 0.500 0.500
P: 0.500 0.000 0.500
Pd: 0.500 0.500 0.500
O: 0.500 0.500 0.000

Values from the calculation:
**Uncorrected formation energy**: 554.5 meV per atom
**Offset from the most stable computed form**: 143 meV/atom
**Total moment**: 0.82 Bohr magnetons per cell


# 3
Computed, not measured: crystalline Pr4AsP2O at its relaxed geometry at the PBE level of DFT.

Lattice parameters (Å, degrees): 7.121 7.121 14.540 90.00 90.00 146.10
Element x y z (fractional)
Pr: 0.000 0.000 0.000
Pr: 0.000 0.000 0.500
Pr: 0.268 0.732 0.625
Pr: 0.268 0.732 0.875
Pr: 0.434 0.566 0.250
Pr: 0.566 0.434 0.750
Pr: 0.732 0.268 0.125
Pr: 0.732 0.268 0.375
As: 0.110 0.890 0.250
As: 0.890 0.110 0.750
P: 0.365 0.635 0.058
P: 0.365 0.635 0.442
P: 0.635 0.365 0.558
P: 0.635 0.365 0.942
O: 0.157 0.843 0.750
O: 0.843 0.157 0.250

Values from the calculation:
**Uncorrected formation energy**: -1764.7 meV per atom
**Total moment**: 0.00 Bohr magnetons per cell


# 4
Computed, not measured: crystalline AsPPtO2 at its relaxed geometry at the PBE level of DFT.

Lattice parameters (Å, degrees): 3.863 3.863 5.081 90.00 90.00 90.00
Element x y z (fractional)
As: 0.000 0.000 0.000
P: 0.500 0.500 0.000
Pt: 0.500 0.500 0.500
O: 0.000 0.500 0.500
O: 0.500 0.000 0.500

Values from the calculation:
**Uncorrected formation energy**: 259.8 meV per atom
**Offset from the most stable computed form**: 308 meV/atom
**Total moment**: 0.00 Bohr magnetons per cell


# 5
Computed, not measured: crystalline AsPPtO2 at its relaxed geometry at the PBE level of DFT.

Lattice parameters (Å, degrees): 3.548 3.548 6.181 90.00 90.00 90.00
Element x y z (fractional)
As: 0.000 0.000 0.000
P: 0.000 0.000 0.500
Pt: 0.500 0.500 0.500
O: 0.000 0.500 0.000
O: 0.500 0.000 0.000

Values from the calculation:
**Uncorrected formation energy**: -48.6 meV per atom
**Offset from the most stable computed form**: 0 meV/atom
**Total moment**: 0.00 Bohr magnetons per cell


# 6
Computed, not measured: crystalline RbAsPO2 at its relaxed geometry at the PBE level of DFT.

Lattice parameters (Å, degrees): 4.181 4.181 7.356 90.00 90.00 90.00
Element x y z (fractional)
Rb: 0.000 0.000 0.000
As: 0.500 0.500 0.500
P: 0.000 0.000 0.500
O: 0.000 0.500 0.000
O: 0.500 0.000 0.000

Values from the calculation:
**Uncorrected formation energy**: 1304.8 meV per atom
**Offset from the most stable computed form**: 1423 meV/atom
**Total moment**: 1.29 Bohr magnetons per cell


# 7
Computed, not measured: crystalline RbAsPO6 at its relaxed geometry at the PBE level of DFT.

Lattice parameters (Å, degrees): 4.759 4.759 6.518 90.00 90.00 120.00
Element x y z (fractional)
Rb: 0.000 0.000 0.000
As: 0.667 0.333 0.500
P: 0.333 0.667 0.500
O: 0.023 0.391 0.654
O: 0.023 0.632 0.346
O: 0.368 0.391 0.346
O: 0.368 0.977 0.654
O: 0.609 0.632 0.654
O: 0.609 0.977 0.346

Values from the calculation:
**Uncorrected formation energy**: -1453.3 meV per atom
**Total moment**: 1.06 Bohr magnetons per cell


# 8
Computed, not measured: crystalline RbAsPO2 at its relaxed geometry at the PBE level of DFT.

Lattice parameters (Å, degrees): 4.198 4.198 4.806 90.00 90.00 90.00
Element x y z (fractional)
Rb: 0.000 0.000 0.000
As: 0.500 0.500 0.500
P: 0.500 0.500 0.000
O: 0.000 0.500 0.500
O: 0.500 0.000 0.500

Values from the calculation:
**Uncorrected formation energy**: -118.1 meV per atom
**Offset from the most stable computed form**: 0 meV/atom
**Total moment**: 1.60 Bohr magnetons per cell


# 9
Computed, not measured: crystalline RbAs2PO at its relaxed geometry at the PBE level of DFT.

Lattice parameters (Å, degrees): 4.440 4.440 5.197 90.00 90.00 90.00
Element x y z (fractional)
Rb: 0.000 0.000 0.000
As: 0.000 0.500 0.500
As: 0.500 0.000 0.500
P: 0.500 0.500 0.000
O: 0.000 0.000 0.500

Values from the calculation:
**Uncorrected formation energy**: 268.9 meV per atom
**Total moment**: 0.00 Bohr magnetons per cell


# 10
Computed, not measured: crystalline ReAsP2O at its relaxed geometry at the PBE level of DFT.

Lattice parameters (Å, degrees): 4.785 4.785 3.707 90.00 90.00 90.00
Element x y z (fractional)
Re: 0.000 0.000 0.000
As: 0.500 0.500 0.500
P: 0.000 0.500 0.000
P: 0.500 0.000 0.000
O: 0.000 0.000 0.500

Values from the calculation:
**Uncorrected formation energy**: 32.2 meV per atom
**Offset from the most stable computed form**: 0 meV/atom
**Total moment**: 0.00 Bohr magnetons per cell


# 11
Computed, not measured: crystalline ReAsP2O at its relaxed geometry at the PBE level of DFT.

Lattice parameters (Å, degrees): 4.710 4.710 3.497 90.00 90.00 90.00
Element x y z (fractional)
Re: 0.000 0.000 0.000
As: 0.500 0.500 0.500
P: 0.000 0.500 0.500
P: 0.500 0.000 0.500
O: 0.500 0.500 0.000

Values from the calculation:
**Uncorrected formation energy**: 892.0 meV per atom
**Offset from the most stable computed form**: 860 meV/atom
**Total moment**: 1.72 Bohr magnetons per cell


# 12
Computed, not measured: crystalline AsPRuO2 at its relaxed geometry at the PBE level of DFT.

Lattice parameters (Å, degrees): 3.572 3.572 5.889 90.00 90.00 90.00
Element x y z (fractional)
As: 0.000 0.000 0.000
P: 0.000 0.000 0.500
Ru: 0.500 0.500 0.500
O: 0.000 0.500 0.000
O: 0.500 0.000 0.000

Values from the calculation:
**Uncorrected formation energy**: 191.3 meV per atom
**Offset from the most stable computed form**: 362 meV/atom
**Total moment**: 2.11 Bohr magnetons per cell